<a>
DFT (PBE) results for a relaxed ZnCuRu crystal.

Unit cell a=2.6884 b=2.6884 c=6.4427 alpha=90.00 beta=90.00 gamma=120.00
Last column: nearest neighbours and their distance in Å.
Space group P3m1 (No. 156)
Unique sites:
Zn1 0.0000 0.0000 0.0000 (multiplicity 1)  3 Cu 2.61, 3 Ru 2.68, 6 Zn 2.69
Cu1 0.6667 0.3333 0.3262 (multiplicity 1)  3 Zn 2.61, 3 Ru 2.66, 6 Cu 2.69
Ru1 0.3333 0.6667 0.6611 (multiplicity 1)  3 Cu 2.66, 3 Zn 2.68, 6 Ru 2.69

Fermi-level density of states: 0.7208 states/eV/atom
total moment: 0.003 μB/f.u.

***

<b>
DFT (PBE) results for a relaxed ZnCuRu crystal.

Unit cell a=2.5676 b=3.8754 c=8.0894 alpha=90.00 beta=90.00 gamma=90.00
Last column: nearest neighbours and their distance in Å.
Space group Imm2 (No. 44)
Unique sites:
Zn1 0.0000 0.0000 0.0000 (multiplicity 2)  2 Zn 2.57, 5 Ru 2.67-2.70, 5 Cu 2.68-2.72
Cu1 0.0000 0.0000 0.6643 (multiplicity 2)  2 Cu 2.57, 5 Zn 2.68-2.72, 5 Ru 2.68-2.70
Ru1 0.0000 0.0000 0.3300 (multiplicity 2)  2 Ru 2.57, 5 Zn 2.67-2.70, 5 Cu 2.68-2.70

Fermi-level density of states: 0.6352 states/eV/atom
total moment: 0.000 μB/f.u.

***

<c>
DFT (PBE) results for a relaxed ZnCuRu crystal.

Unit cell a=2.8233 b=4.4357 c=13.0249 alpha=90.00 beta=90.00 gamma=90.00
Last column: nearest neighbours and their distance in Å.
Space group Fmm2 (No. 42)
Unique sites:
Zn1 0.0000 0.0000 0.0000 (multiplicity 4)  2 Cu 2.53, 2 Ru 2.62, 6 Zn 2.63-2.82
Cu1 0.0000 0.0000 0.6614 (multiplicity 4)  2 Zn 2.53, 2 Ru 2.62, 6 Cu 2.63-2.82
Ru1 0.0000 0.0000 0.3305 (multiplicity 4)  2 Cu 2.62, 2 Zn 2.62, 6 Ru 2.63-2.82

Fermi-level density of states: 0.7221 states/eV/atom
total moment: 0.507 μB/f.u.

***

<d>
DFT (PBE) results for a relaxed ZnCuRu crystal.

Unit cell a=2.7840 b=2.7840 c=10.3661 alpha=90.00 beta=90.00 gamma=90.00
Last column: nearest neighbours and their distance in Å.
Space group P4/nmm (No. 129, origin choice 2)
Unique sites:
Zn1 0.2500 0.2500 0.2400 (multiplicity 2)  4 Cu 2.60, 4 Ru 2.71, 4 Zn 2.78
Cu1 0.2500 0.2500 0.9232 (multiplicity 2)  8 Cu 2.53-2.78, 4 Zn 2.60
Ru1 0.2500 0.2500 0.5810 (multiplicity 2)  8 Ru 2.59-2.78, 4 Zn 2.71

Fermi-level density of states: 0.5498 states/eV/atom
total moment: 0.000 μB/f.u.

***

Most favorable first, least favorable last: <d>, <a>, <b>, <c>